1.
# CsGa3Fe | Alexandria via LeMat-Bulk | GGA-PBE | relaxed
# Mass density: 5.786 Mg/m³
# ΔE to the lowest computed polymorph: 0.0 meV per atom
# Symmetry: No. 221
# Total energy: -3.72 eV per atom
data_CsGa3Fe
_chemical_formula_sum 'Cs1 Ga3 Fe1'
_cell_length_a 4.852
_cell_length_b 4.852
_cell_length_c 4.852
_cell_angle_alpha 90.00
_cell_angle_beta 90.00
_cell_angle_gamma 90.00
_space_group_name_H-M_alt 'P 1'
_space_group_IT_number 1
loop_
_space_group_symop_operation_xyz
'x,y,z'
loop_
_atom_site_label
_atom_site_fract_x
_atom_site_fract_y
_atom_site_fract_z
Ga1 0.000 0.500 0.000
Cs1 0.500 0.500 0.500
Ga2 0.500 0.000 0.000
Fe1 0.000 0.000 0.000
Ga3 0.000 0.000 0.500

---

2.
# Cs2Ga4Fe | Alexandria via LeMat-Bulk | GGA-PBE | relaxed
# Mass density: 4.528 Mg/m³
# Symmetry: No. 139
# Total energy: -3.20 eV per atom
data_Cs2Ga4Fe
_chemical_formula_sum 'Cs2 Ga4 Fe1'
_cell_length_a 4.738
_cell_length_b 4.738
_cell_length_c 10.366
_cell_angle_alpha 76.79
_cell_angle_beta 76.79
_cell_angle_gamma 90.00
_space_group_name_H-M_alt 'P 1'
_space_group_IT_number 1
loop_
_space_group_symop_operation_xyz
'x,y,z'
loop_
_atom_site_label
_atom_site_fract_x
_atom_site_fract_y
_atom_site_fract_z
Cs1 0.334 0.334 0.331
Ga1 0.115 0.115 0.769
Cs2 0.666 0.666 0.669
Ga2 0.000 0.500 0.000
Ga3 0.500 0.000 0.000
Ga4 0.885 0.885 0.231
Fe1 0.000 0.000 0.000

---

3.
# CsGaFeH6 | Alexandria via LeMat-Bulk | GGA-PBE | relaxed
# Mass density: 4.124 Mg/m³
# Symmetry: No. 149
# Total energy: -3.69 eV per atom
data_CsGaFeH6
_chemical_formula_sum 'Cs1 Ga1 Fe1 H6'
_cell_length_a 4.321
_cell_length_b 4.321
_cell_length_c 6.587
_cell_angle_alpha 90.01
_cell_angle_beta 90.01
_cell_angle_gamma 60.00
_space_group_name_H-M_alt 'P 1'
_space_group_IT_number 1
loop_
_space_group_symop_operation_xyz
'x,y,z'
loop_
_atom_site_label
_atom_site_fract_x
_atom_site_fract_y
_atom_site_fract_z
H1 0.061 0.626 0.651
Cs1 0.000 0.000 0.000
Fe1 0.333 0.333 0.500
Ga1 0.667 0.667 0.500
H2 0.313 0.626 0.349
H3 0.626 0.313 0.651
H4 0.313 0.061 0.651
H5 0.061 0.313 0.349
H6 0.626 0.061 0.349

---

4.
# CsK2GaFe | Alexandria via LeMat-Bulk | GGA-PBE | relaxed
# Mass density: 2.619 Mg/m³
# Symmetry: No. 123
# Total energy: -2.44 eV per atom
data_CsK2GaFe
_chemical_formula_sum 'Cs1 K2 Ga1 Fe1'
_cell_length_a 6.587
_cell_length_b 4.921
_cell_length_c 6.587
_cell_angle_alpha 90.00
_cell_angle_beta 90.00
_cell_angle_gamma 90.00
_space_group_name_H-M_alt 'P 1'
_space_group_IT_number 1
loop_
_space_group_symop_operation_xyz
'x,y,z'
loop_
_atom_site_label
_atom_site_fract_x
_atom_site_fract_y
_atom_site_fract_z
K1 0.500 0.000 0.000
Fe1 0.000 0.000 0.000
Cs1 0.500 0.500 0.500
Ga1 0.000 0.500 0.000
K2 0.000 0.000 0.500

---

5.
# CsLa2GaFe | Alexandria via LeMat-Bulk | GGA-PBE | relaxed
# Mass density: 5.474 Mg/m³
# Symmetry: No. 123
# Total energy: -3.16 eV per atom
data_CsLa2GaFe
_chemical_formula_sum 'Cs1 La2 Ga1 Fe1'
_cell_length_a 5.903
_cell_length_b 4.669
_cell_length_c 5.903
_cell_angle_alpha 90.00
_cell_angle_beta 90.00
_cell_angle_gamma 90.00
_space_group_name_H-M_alt 'P 1'
_space_group_IT_number 1
loop_
_space_group_symop_operation_xyz
'x,y,z'
loop_
_atom_site_label
_atom_site_fract_x
_atom_site_fract_y
_atom_site_fract_z
La1 0.000 0.000 0.500
Fe1 0.000 0.500 0.000
Cs1 0.000 0.000 0.000
Ga1 0.500 0.500 0.500
La2 0.500 0.000 0.000